Density functional theory data (PBE-GGA) for an optimized crystal structure of Ce2Pd2Au3.

extended XYZ file:
```
7
Lattice="-2.9749 -3.1565 -0.6250 5.0589 -1.3406 -1.9458 2.9257 -3.7557 5.0422" Properties=species:S:1:pos:R:3 pbc="T T T"
Ce 4.8987 -5.0217 2.0448
Ce 0.1109 -3.2310 0.4267
Pd 2.4832 -2.8067 2.3555
Pd 2.5264 -5.4460 0.1160
Au 0.0000 0.0000 0.0000
Au 2.9541 -2.6977 -0.4367
Au 2.0555 -5.5550 2.9082
```

## Properties
- SG = No. 12
- magnetization (μB/atom) = 0.229
- D(E_F) (states/eV/cell) = 12.96
- calculated formation energy (eV/atom) = -0.64



Density functional theory data (PBE-GGA) for an optimized crystal structure of CePd2Au5.

extended XYZ file:
```
8
Lattice="-1.7334 0.8971 3.5657 -2.5228 -5.5679 2.4915 4.3443 -1.3771 4.7753" Properties=species:S:1:pos:R:3 pbc="T T T"
Ce 0.0000 0.0000 0.0000
Pd 0.2417 -4.9234 8.3072
Pd -0.1536 -1.1245 2.5253
Au 0.9107 -3.4725 3.6334
Au -1.7391 -2.5574 4.4320
Au 1.8272 -3.4904 6.4005
Au -0.6351 -4.9931 5.5815
Au 0.7232 -1.0548 5.2510
```

## Properties
- SG = No. 71
- magnetization (μB/atom) = 0.085
- D(E_F) (states/eV/cell) = 7.84
- calculated formation energy (eV/atom) = -0.30



Density functional theory data (PBE-GGA) for an optimized crystal structure of CePd3Au6.

extended XYZ file:
```
20
Lattice="7.0681 0.0000 0.0000 0.0000 6.3484 -2.7941 0.0000 0.2772 8.5346" Properties=species:S:1:pos:R:3 pbc="T T T"
Ce 3.5341 3.3128 2.8703
Ce 0.0000 0.0000 0.0000
Pd 5.5406 5.1974 2.8394
Pd 3.5341 0.1386 4.2673
Pd 1.5275 1.4282 2.9011
Pd 5.0616 1.8846 -0.0308
Pd 0.0000 3.1742 -1.3971
Pd 2.0065 4.7410 5.7714
Au 1.2571 5.5326 2.8252
Au 0.0214 3.4357 4.2858
Au 1.9175 1.9376 5.6926
Au 5.1507 4.6880 0.0479
Au 7.0468 3.1899 1.4547
Au 5.8110 1.0930 2.9154
Au 2.2770 2.2198 -0.0451
Au 3.5127 0.1229 1.4155
Au 1.6166 4.9731 0.0282
Au 5.4515 1.6525 5.7123
Au 3.5554 6.5027 4.3250
Au 4.7911 4.4058 5.7856
```

## Properties
- SG = No. 14
- magnetization (μB/atom) = 0.067
- D(E_F) (states/eV/cell) = 17.35
- calculated formation energy (eV/atom) = -0.30



Density functional theory data (PBE-GGA) for an optimized crystal structure of Ce2Pd7Au3.

extended XYZ file:
```
12
Lattice="4.6246 -1.0107 1.1519 -1.3199 5.2310 -1.9833 3.5175 -3.6135 11.6545" Properties=species:S:1:pos:R:3 pbc="T T T"
Ce 3.1130 -2.4992 9.0226
Ce 3.7092 3.1059 1.8006
Pd 2.1719 -0.3185 7.5926
Pd 4.0553 1.4889 5.9825
Pd 0.0000 0.0000 0.0000
Pd 4.6503 0.9253 3.2306
Pd 2.4118 0.4057 1.6185
Pd 4.4104 0.2011 9.2047
Pd 2.7668 -0.8821 4.8407
Au 1.6524 2.1101 -0.4157
Au 2.0096 1.7139 4.0521
Au 4.8126 -1.1071 6.7711
```

## Properties
- SG = No. 2
- magnetization (μB/atom) = 0.072
- D(E_F) (states/eV/cell) = 11.58
- calculated formation energy (eV/atom) = -0.49